[1]
Density functional theory data (PBE-GGA) for crystalline Pr5Sm2Ho12 at its relaxed geometry.

density of states at the Fermi level	56.6	states/eV/cell
energy relative to the elements	0.22	eV per atom
distance to the lowest polymorph of the same formula	153	meV per atom
total DFT energy (no corrections)	-168.3	eV for the cell shown

abc: 17.8987 9.1079 8.7209
angles: 90.00 115.92 90.00
With the nearest neighbours (Å) after each atom.
Space group C2/m (No. 12)
Unique sites:
Pr 0.0000 0.0000 0.0000 [2 per cell]  6 Ho 3.20-3.54
Pr 0.2176 0.5000 0.7302 [4 per cell]  8 Ho 3.59-3.93, 2 Sm 3.85, 1 Pr 3.85
Pr 0.2358 0.0000 0.7949 [4 per cell]  5 Ho 3.12-3.47
Sm 0.0000 0.3280 0.5000 [4 per cell]  1 Sm 3.13, 4 Ho 3.31-3.32
Ho 0.0449 0.0000 0.6831 [4 per cell]  1 Ho 2.88, 2 Pr 3.12-3.20
Ho 0.0644 0.5000 0.2173 [4 per cell]  7 Ho 3.32-3.62, 2 Sm 3.51, 1 Pr 3.62
Ho 0.1240 0.2825 0.9520 [8 per cell]  2 Pr 3.20-3.54, 2 Ho 3.35-3.55
Ho 0.1452 0.1840 0.4077 [8 per cell]  1 Sm 3.31, 4 Ho 3.32-3.58, 2 Pr 3.47-3.59

***

[2]
Density functional theory data (PBE-GGA) for crystalline Pr2Sm5Ho2 at its relaxed geometry.

density of states at the Fermi level	51.6	states/eV/cell
energy relative to the elements	0.20	eV per atom
distance to the lowest polymorph of the same formula	184	meV per atom
total DFT energy (no corrections)	-162.1	eV for the cell shown

abc: 12.9110 8.6382 11.0976
angles: 90.00 90.00 90.00
With the nearest neighbours (Å) after each atom.
Space group Ima2 (No. 46)
Unique sites:
Pr 0.0000 0.0000 0.0000 [4 per cell]  4 Sm 3.32-3.36, 2 Ho 3.64, 2 Pr 3.67
Pr 0.2500 0.1071 0.1337 [4 per cell]  5 Sm 3.49-3.58, 4 Ho 3.63-3.90, 2 Pr 3.67
Sm 0.0813 0.6867 0.7478 [8 per cell]  4 Sm 3.30-3.63, 2 Pr 3.36-3.58, 2 Ho 3.37-3.46
Sm 0.1310 0.0609 0.7469 [8 per cell]  2 Sm 3.07-3.30, 1 Pr 3.32, 1 Ho 3.39
Sm 0.2500 0.7432 0.9913 [4 per cell]  4 Sm 3.51-3.63, 3 Pr 3.52-3.92, 2 Ho 3.64
Ho 0.1111 0.1195 0.4457 [8 per cell]  5 Sm 3.37-3.64, 2 Ho 3.54-3.59, 2 Pr 3.63-3.64

***

[3]
Density functional theory data (PBE-GGA) for crystalline Pr2SmHo at its relaxed geometry.

density of states at the Fermi level	13.8	states/eV/cell
energy relative to the elements	0.01	eV per atom
distance to the lowest polymorph of the same formula	0	meV per atom
total DFT energy (no corrections)	-56.4	eV for the cell shown

abc: 3.6519 3.6519 35.4693
angles: 90.00 90.00 120.00
With the nearest neighbours (Å) after each atom.
Space group R-3m (No. 166, hexagonal axes)
Unique sites:
Pr 0.0000 0.0000 0.2490 [6 per cell]  3 Ho 3.60, 6 Pr 3.65, 3 Sm 3.66
Sm 0.0000 0.0000 0.0000 [3 per cell]  6 Sm 3.65, 6 Pr 3.66
Ho 0.0000 0.0000 0.5000 [3 per cell]  6 Pr 3.60, 6 Ho 3.65